DFT (PBE-GGA) results for crystalline Pr8SmTm2 at its relaxed geometry.

Geometry as CIF:
```
data_Pr8SmTm2
_chemical_formula_sum 'Pr16 Sm2 Tm4'
_cell_length_a 9.227
_cell_length_b 16.683
_cell_length_c 6.059
_cell_angle_alpha 90.00
_cell_angle_beta 123.55
_cell_angle_gamma 90.00
_symmetry_space_group_name_H-M 'C 1 2/m 1'
_symmetry_Int_Tables_number 12
_symmetry_space_group_name_Hall '-C 2y'
loop_
_atom_site_label
_atom_site_fract_x
_atom_site_fract_y
_atom_site_fract_z
_atom_site_occupancy
Pr1 0.000 0.206 0.000 1
Pr2 0.078 0.500 0.795 1
Pr3 0.217 0.119 0.680 1
Sm1 0.000 0.000 0.000 1
Tm1 0.000 0.310 0.500 1
```

Properties
Total moment   0.00 μB per formula unit
Total energy   -4.585 eV per atom
ΔE to the lowest computed polymorph   2.5 kJ/mol of atoms
Calculated formation energy   141 kJ/mol of formula units